## Cs2CrAg (GGA-PBE)

Data for Cs2CrAg after structural relaxation.

Structure (CIF):
```
data_Cs2CrAg
_chemical_formula_sum 'Cs4 Cr2 Ag2'
_cell_length_a 8.091
_cell_length_b 8.091
_cell_length_c 8.091
_cell_angle_alpha 101.77
_cell_angle_beta 101.77
_cell_angle_gamma 126.30
_space_group_name_H-M_alt 'P 1'
_space_group_IT_number 1
loop_
_space_group_symop_operation_xyz
'x,y,z'
loop_
_atom_site_label
_atom_site_type_symbol
_atom_site_fract_x
_atom_site_fract_y
_atom_site_fract_z
Cs1 Cs 0.625 0.099 0.974
Cs2 Cs 0.125 0.651 0.026
Cs3 Cs 0.901 0.875 0.526
Cs4 Cs 0.349 0.375 0.474
Cr1 Cr 0.500 0.500 0.000
Cr2 Cr 0.750 0.250 0.500
Ag1 Ag 0.000 0.000 0.000
Ag2 Ag 0.250 0.750 0.500
```

Values from the calculation:
As for the calculated volume: 380.8 Å³ per cell. The formation energy comes out at 0.805 eV per atom. The value obtained for the total energy is -10.96 eV per formula unit. The value obtained for the energy above the lowest structure with this stoichiometry is 2.469 kcal/mol of atoms. As for the space group: I-42d (122).

## Cs3CrAg (GGA-PBE)

Data for Cs3CrAg after structural relaxation.

Structure (CIF):
```
data_Cs3CrAg
_chemical_formula_sum 'Cs3 Cr1 Ag1'
_cell_length_a 7.061
_cell_length_b 7.061
_cell_length_c 7.061
_cell_angle_alpha 90.00
_cell_angle_beta 90.00
_cell_angle_gamma 90.00
_space_group_name_H-M_alt 'P 1'
_space_group_IT_number 1
loop_
_space_group_symop_operation_xyz
'x,y,z'
loop_
_atom_site_label
_atom_site_type_symbol
_atom_site_fract_x
_atom_site_fract_y
_atom_site_fract_z
Cs1 Cs 0.000 0.500 0.000
Cs2 Cs 0.000 0.000 0.500
Cs3 Cs 0.500 0.000 0.000
Cr1 Cr 0.500 0.500 0.500
Ag1 Ag 0.000 0.000 0.000
```

Values from the calculation:
As for the calculated volume: 352.0 Å³ per cell. The formation energy comes out at 0.641 eV per atom. The value obtained for the total energy is -11.83 eV per formula unit. As for the space group: Pm-3m (221).

## Cs2CrCuAg (GGA-PBE)

Data for Cs2CrCuAg after structural relaxation.

Structure (CIF):
```
data_Cs2CrCuAg
_chemical_formula_sum 'Cs2 Cr1 Cu1 Ag1'
_cell_length_a 6.913
_cell_length_b 5.333
_cell_length_c 6.913
_cell_angle_alpha 90.00
_cell_angle_beta 90.00
_cell_angle_gamma 90.00
_space_group_name_H-M_alt 'P 1'
_space_group_IT_number 1
loop_
_space_group_symop_operation_xyz
'x,y,z'
loop_
_atom_site_label
_atom_site_type_symbol
_atom_site_fract_x
_atom_site_fract_y
_atom_site_fract_z
Cs1 Cs 0.000 0.000 0.500
Cs2 Cs 0.500 0.000 0.000
Cr1 Cr 0.000 0.500 0.000
Cu1 Cu 0.500 0.500 0.500
Ag1 Ag 0.000 0.000 0.000
```

Values from the calculation:
As for the calculated volume: 254.9 Å³ per cell. The formation energy comes out at 0.777 eV per atom. The value obtained for the total energy is -14.39 eV per formula unit. As for the space group: P4/mmm (123).